(1)
First-principles (PBE-GGA) data for a geometry-optimized Gd3SbSe2 structure, as listed in the Open Quantum Materials Database.

Output
E_tot = -34.56 eV per cell
ρ = 7.851 Mg/m³

The structure in CIF format:
```
data_Gd3SbSe2
_symmetry_space_group_name_H-M 'P -3 m 1'
_symmetry_Int_Tables_number 164
_symmetry_space_group_name_Hall '-P 3 2"'
_cell_length_a 4.2286
_cell_length_b 4.2286
_cell_length_c 10.2634
_cell_angle_alpha 90.00
_cell_angle_beta 90.00
_cell_angle_gamma 120.00
loop_
_atom_site_label
_atom_site_type_symbol
_atom_site_fract_x
_atom_site_fract_y
_atom_site_fract_z
Gd1 Gd 0.0000 0.0000 0.0000
Gd2 Gd 0.3333 0.6667 0.3200
Sb1 Sb 0.0000 0.0000 0.5000
Se1 Se 0.3333 0.6667 0.8408
```

=====

(2)
First-principles (PBE-GGA) data for a geometry-optimized Fe2P structure, as listed in the Open Quantum Materials Database.

Output
E_tot = -70.25 eV per cell
ρ = 7.158 Mg/m³

The structure in CIF format:
```
data_Fe2P
_symmetry_space_group_name_H-M 'P -6 2 m'
_symmetry_Int_Tables_number 189
_symmetry_space_group_name_Hall 'P -6 -2'
_cell_length_a 5.8327
_cell_length_b 5.8327
_cell_length_c 3.3701
_cell_angle_alpha 90.00
_cell_angle_beta 90.00
_cell_angle_gamma 120.00
loop_
_atom_site_label
_atom_site_type_symbol
_atom_site_fract_x
_atom_site_fract_y
_atom_site_fract_z
Fe1 Fe 0.0000 0.4069 0.0000
Fe2 Fe 0.0000 0.7427 0.5000
P1 P 0.0000 0.0000 0.0000
P2 P 0.3333 0.6667 0.5000
```

=====

(3)
First-principles (PBE-GGA) data for a geometry-optimized KHfTePdSeS structure, as listed in the Open Quantum Materials Database.

Output
E_tot = -67.27 eV per cell
ρ = 6.028 Mg/m³
E above lowest polymorph = 15 meV per atom

The structure in CIF format:
```
data_KHfTePdSeS
_symmetry_space_group_name_H-M 'P 1 21/m 1'
_symmetry_Int_Tables_number 11
_symmetry_space_group_name_Hall '-P 2yb'
_cell_length_a 8.453
_cell_length_b 3.757
_cell_length_c 10.574
_cell_angle_alpha 90.00
_cell_angle_beta 112.59
_cell_angle_gamma 90.00
loop_
_atom_site_label
_atom_site_type_symbol
_atom_site_fract_x
_atom_site_fract_y
_atom_site_fract_z
K1 K 0.220 0.250 0.245
Hf1 Hf 0.307 0.750 0.839
Te1 Te 0.273 0.750 0.553
Pd1 Pd 0.087 0.250 0.615
Se1 Se 0.441 0.750 0.121
S1 S 0.113 0.250 0.854
```

=====

(4)
First-principles (PBE-GGA) data for a geometry-optimized BaSbAu structure, as listed in the Open Quantum Materials Database.

Output
E_tot = -20.57 eV per cell
ρ = 7.951 Mg/m³

The structure in CIF format:
```
data_BaSbAu
_symmetry_space_group_name_H-M 'P 63/m m c'
_symmetry_Int_Tables_number 194
_symmetry_space_group_name_Hall '-P 6c 2c'
_cell_length_a 5.6565
_cell_length_b 5.6565
_cell_length_c 6.8758
_cell_angle_alpha 90.00
_cell_angle_beta 90.00
_cell_angle_gamma 120.00
loop_
_atom_site_label
_atom_site_type_symbol
_atom_site_fract_x
_atom_site_fract_y
_atom_site_fract_z
Ba1 Ba 0.3333 0.6667 0.2500
Sb1 Sb 0.3333 0.6667 0.7500
Au1 Au 0.0000 0.0000 0.0000
```

=====

(5)
First-principles (PBE-GGA) data for a geometry-optimized TmScNi4 structure, as listed in the Open Quantum Materials Database.

Output
E_tot = -144.45 eV per cell
ρ = 8.782 Mg/m³
calculated formation energy = -0.51 eV per atom

The structure in CIF format:
```
data_TmScNi4
_symmetry_space_group_name_H-M 'F -4 3 m'
_symmetry_Int_Tables_number 216
_symmetry_space_group_name_Hall 'F -4 2 3'
_cell_length_a 6.975
_cell_length_b 6.975
_cell_length_c 6.975
_cell_angle_alpha 90.00
_cell_angle_beta 90.00
_cell_angle_gamma 90.00
loop_
_atom_site_label
_atom_site_type_symbol
_atom_site_fract_x
_atom_site_fract_y
_atom_site_fract_z
Tm1 Tm 0.000 0.000 0.000
Sc1 Sc 0.250 0.250 0.750
Ni1 Ni 0.125 0.125 0.375
```

=====

(6)
First-principles (PBE-GGA) data for a geometry-optimized PAuSe4 structure, as listed in the Open Quantum Materials Database.

Output
E_tot = -21.76 eV per cell
ρ = 6.185 Mg/m³

The structure in CIF format:
```
data_PAuSe4
_symmetry_space_group_name_H-M 'P 1'
_symmetry_Int_Tables_number 1
_symmetry_space_group_name_Hall 'P 1'
_cell_length_a 5.572
_cell_length_b 5.578
_cell_length_c 6.069
_cell_angle_alpha 108.75
_cell_angle_beta 99.48
_cell_angle_gamma 118.04
loop_
_atom_site_label
_atom_site_type_symbol
_atom_site_fract_x
_atom_site_fract_y
_atom_site_fract_z
P1 P 0.000 0.000 0.000
Au1 Au 0.750 0.251 0.499
Se1 Se 0.227 0.219 0.482
Se2 Se 0.576 0.972 0.027
Se3 Se 0.738 0.746 0.517
Se4 Se 0.944 0.548 0.972
```

=====

What did the fourth record say?
First-principles (PBE-GGA) data for a geometry-optimized BaSbAu structure, as listed in the Open Quantum Materials Database.

Output
E_tot = -20.57 eV per cell
ρ = 7.951 Mg/m³

The structure in CIF format:
```
data_BaSbAu
_symmetry_space_group_name_H-M 'P 63/m m c'
_symmetry_Int_Tables_number 194
_symmetry_space_group_name_Hall '-P 6c 2c'
_cell_length_a 5.6565
_cell_length_b 5.6565
_cell_length_c 6.8758
_cell_angle_alpha 90.00
_cell_angle_beta 90.00
_cell_angle_gamma 120.00
loop_
_atom_site_label
_atom_site_type_symbol
_atom_site_fract_x
_atom_site_fract_y
_atom_site_fract_z
Ba1 Ba 0.3333 0.6667 0.2500
Sb1 Sb 0.3333 0.6667 0.7500
Au1 Au 0.0000 0.0000 0.0000
```